# 1
# CrFeOs

Crystalline CrFeOs at its relaxed geometry (PBE, Alexandria via LeMat-Bulk).

Output
Its energy above the most stable polymorph in this dataset is 63 meV/atom. The space-group type is C2/m.

a = 2.927 Å, b = 5.723 Å, c = 4.941 Å
α = 107.90°, β = 107.23°, γ = 90.00°
Sites, in units of the cell vectors:
1 Cr 0.179 0.343 0.359
2 Fe 0.174 0.842 0.349
3 Fe 0.826 0.158 0.651
4 Os 0.500 0.500 0.000
5 Cr 0.821 0.657 0.641
6 Os 0.500 0.000 0.000

# 2
# Cr2FeOs

Crystalline Cr2FeOs at its relaxed geometry (PBE, Alexandria via LeMat-Bulk).

Output
Its energy above the most stable polymorph in this dataset is 132 meV/atom. The space-group type is R-3m.

a = 8.459 Å, b = 8.459 Å, c = 8.459 Å
α = 17.79°, β = 17.79°, γ = 17.79°
Sites, in units of the cell vectors:
1 Os 0.750 0.750 0.750
2 Fe 0.250 0.250 0.250
3 Cr 0.504 0.504 0.504
4 Cr 0.996 0.996 0.996

# 3
# Cr4Fe2Os3

Crystalline Cr4Fe2Os3 at its relaxed geometry (PBE, Alexandria via LeMat-Bulk).

Output
The space-group type is C2/m.

a = 4.119 Å, b = 4.893 Å, c = 6.374 Å
α = 77.12°, β = 90.00°, γ = 114.89°
Sites, in units of the cell vectors:
1 Os 0.000 0.000 0.000
2 Cr 0.314 0.627 0.013
3 Fe 0.232 0.463 0.665
4 Cr 0.888 0.777 0.654
5 Os 0.451 0.901 0.315
6 Cr 0.112 0.223 0.346
7 Os 0.549 0.099 0.685
8 Fe 0.768 0.537 0.335
9 Cr 0.686 0.373 0.987

# 4
# CrFe2Os

Crystalline CrFe2Os at its relaxed geometry (PBE, Alexandria via LeMat-Bulk).

Output
The space-group type is P4/mmm.

a = 2.581 Å, b = 2.581 Å, c = 7.083 Å
α = 90.00°, β = 90.00°, γ = 90.00°
Sites, in units of the cell vectors:
1 Fe 0.000 0.000 0.992
2 Os 0.500 0.500 0.250
3 Fe 0.000 0.000 0.508
4 Cr 0.500 0.500 0.750

# 5
# Cr2FeOs2

Crystalline Cr2FeOs2 at its relaxed geometry (PBE, Alexandria via LeMat-Bulk).

Output
Its energy above the most stable polymorph in this dataset is 0 meV/atom. The space-group type is P4/mbm.

a = 7.125 Å, b = 7.125 Å, c = 2.727 Å
α = 90.00°, β = 90.00°, γ = 90.00°
Sites, in units of the cell vectors:
1 Os 0.136 0.364 0.000
2 Os 0.864 0.636 0.000
3 Cr 0.162 0.662 0.500
4 Os 0.364 0.864 0.000
5 Cr 0.338 0.162 0.500
6 Fe 0.500 0.500 0.000
7 Os 0.636 0.136 0.000
8 Cr 0.662 0.838 0.500
9 Cr 0.838 0.338 0.500
10 Fe 0.000 0.000 0.000

# 6
# CrFe2Os

Crystalline CrFe2Os at its relaxed geometry (PBE, Alexandria via LeMat-Bulk).

Output
The space-group type is P4mm.

a = 2.905 Å, b = 2.905 Å, c = 5.841 Å
α = 90.00°, β = 90.00°, γ = 90.00°
Sites, in units of the cell vectors:
1 Os 0.000 0.000 0.508
2 Fe 0.500 0.500 0.229
3 Cr 0.500 0.500 0.761
4 Fe 0.000 0.000 0.003

# 7
# CrFe2Os

Crystalline CrFe2Os at its relaxed geometry (PBE, Alexandria via LeMat-Bulk).

Output
The space-group type is R3m.

a = 8.425 Å, b = 8.425 Å, c = 8.425 Å
α = 17.99°, β = 17.99°, γ = 17.99°
Sites, in units of the cell vectors:
1 Fe 0.999 0.999 0.999
2 Cr 0.254 0.254 0.254
3 Os 0.501 0.501 0.501
4 Fe 0.746 0.746 0.746

# 8
# Cr2FeOs

Crystalline Cr2FeOs at its relaxed geometry (PBE, Alexandria via LeMat-Bulk).

Output
Its energy above the most stable polymorph in this dataset is 33 meV/atom. The space-group type is Pmmm.

a = 2.962 Å, b = 4.076 Å, c = 4.122 Å
α = 90.00°, β = 90.00°, γ = 90.00°
Sites, in units of the cell vectors:
1 Cr 0.000 0.000 0.000
2 Cr 0.500 0.500 0.000
3 Fe 0.500 0.000 0.500
4 Os 0.000 0.500 0.500

# 9
# Cr2FeOs

Crystalline Cr2FeOs at its relaxed geometry (PBE, Alexandria via LeMat-Bulk).

Output
Its energy above the most stable polymorph in this dataset is 57 meV/atom. The space-group type is P4/mmm.

a = 4.079 Å, b = 4.079 Å, c = 2.984 Å
α = 90.00°, β = 90.00°, γ = 90.00°
Sites, in units of the cell vectors:
1 Fe 0.500 0.000 0.500
2 Cr 0.000 0.000 0.000
3 Os 0.000 0.500 0.500
4 Cr 0.500 0.500 0.000

# 10
# Cr2FeOs

Crystalline Cr2FeOs at its relaxed geometry (PBE, Alexandria via LeMat-Bulk).

Output
Its energy above the most stable polymorph in this dataset is 80 meV/atom. The space-group type is P2/m.

a = 4.076 Å, b = 2.558 Å, c = 4.902 Å
α = 77.53°, β = 90.00°, γ = 90.00°
Sites, in units of the cell vectors:
1 Fe 0.500 0.250 0.250
2 Cr 0.000 0.014 0.007
3 Cr 0.000 0.486 0.493
4 Os 0.500 0.750 0.750

# 11
# CrFe2Os

Crystalline CrFe2Os at its relaxed geometry (PBE, Alexandria via LeMat-Bulk).

Output
The space-group type is I-4m2.

a = 4.434 Å, b = 4.434 Å, c = 4.434 Å
α = 131.25°, β = 131.25°, γ = 71.41°
Sites, in units of the cell vectors:
1 Fe 0.000 0.000 0.000
2 Cr 0.750 0.250 0.500
3 Os 0.500 0.500 0.000
4 Fe 0.250 0.750 0.500

# 12
# Cr2Fe2Os

Crystalline Cr2Fe2Os at its relaxed geometry (PBE, Alexandria via LeMat-Bulk).

Output
Its energy above the most stable polymorph in this dataset is 0 meV/atom. The space-group type is P4/mbm.

a = 6.644 Å, b = 6.644 Å, c = 2.653 Å
α = 90.00°, β = 90.00°, γ = 90.00°
Sites, in units of the cell vectors:
1 Fe 0.872 0.628 0.000
2 Cr 0.671 0.829 0.500
3 Os 0.500 0.500 0.000
4 Cr 0.329 0.171 0.500
5 Cr 0.171 0.671 0.500
6 Fe 0.628 0.128 0.000
7 Os 0.000 0.000 0.000
8 Fe 0.372 0.872 0.000
9 Cr 0.829 0.329 0.500
10 Fe 0.128 0.372 0.000

Energy of formation values (in eV/f.u.) by entry order: 0.4, 0.9, 1.0, 0.6, 1.6, 0.4, 0.8, 0.5, 0.6, 0.7, 0.2, 0.9.
V values (in A^3/atom) by entry order: 12.5, 12.3, 12.6, 11.8, 13.8, 12.3, 12.5, 12.4, 12.4, 12.5, 12.1, 11.7.
Total moment values (in μB/f.u.) by entry order: 2.3, 0.9, 5.0, 0.4, 1.9, 5.0, 3.7, 2.9, 3.3, 3.0, 0.3, 0.0.